1.
Compound: Y4CdBiC2
Source: OQMD
Functional: PBE-GGA
Structure: optimized geometry

Values from the calculation:
**VASP energy**: -52.8 eV per cell
**Total magnetic moment**: 0.090 μB per atom
**Calculated volume**: 22.912 Å³/atom

```
data_Y4CdBiC2
_chemical_formula_sum 'Y4 Cd1 Bi1 C2'
_space_group_name_H-M_alt 'P -6 m 2'
_space_group_IT_number 187
_space_group_name_Hall 'P -6 2'
_cell_length_a 3.6404
_cell_length_b 3.6404
_cell_length_c 15.9703
_cell_angle_alpha 90.00
_cell_angle_beta 90.00
_cell_angle_gamma 120.00
loop_
_atom_site_label
_atom_site_type_symbol
_atom_site_fract_x
_atom_site_fract_y
_atom_site_fract_z
Y1 Y 0.0000 0.0000 0.1650
Y2 Y 0.6667 0.3333 0.3325
Cd1 Cd 0.0000 0.0000 0.5000
Bi1 Bi 0.6667 0.3333 0.0000
C1 C 0.3333 0.6667 0.2471
```

***

2.
Compound: CoBiMo4C2
Source: OQMD
Functional: PBE-GGA
Structure: optimized geometry

Values from the calculation:
**VASP energy**: -71.0 eV per cell
**Total magnetic moment**: 0.002 μB per atom
**Calculated volume**: 14.327 Å³/atom

```
data_CoBiMo4C2
_chemical_formula_sum 'Co1 Bi1 Mo4 C2'
_space_group_name_H-M_alt 'P -6 m 2'
_space_group_IT_number 187
_space_group_name_Hall 'P -6 2'
_cell_length_a 3.1335
_cell_length_b 3.1335
_cell_length_c 13.4788
_cell_angle_alpha 90.00
_cell_angle_beta 90.00
_cell_angle_gamma 120.00
loop_
_atom_site_label
_atom_site_type_symbol
_atom_site_fract_x
_atom_site_fract_y
_atom_site_fract_z
Co1 Co 0.0000 0.0000 0.0000
Bi1 Bi 0.6667 0.3333 0.5000
Mo1 Mo 0.0000 0.0000 0.3046
Mo2 Mo 0.6667 0.3333 0.1382
C1 C 0.3333 0.6667 0.2260
```

***

Which of these has the lowest VASP energy? CoBiMo4C2